{
  "formula": "TcHgPb2",
  "functional": "PBE",
  "state": "optimized geometry",
  "formation_enthalpy_0k_ev_per_atom": 0.637,
  "spacegroup": "No. 12",
  "dft_energy_ev_per_atom": -3.884,
  "lattice": [[3.7818, -3.7795, 0.0000], [3.7818, 3.7795, 0.0000], [-0.0057, 0.0000, 3.3446]],
  "species": ["Tc", "Hg", "Pb", "Pb"],
  "frac_coords": [[0.0000, 0.0000, 0.0000], [0.5000, 0.5000, 0.0000], [0.0000, 0.5000, 0.5000], [0.5000, 0.0000, 0.5000]]
}